AcCr2FeO6 | PBE with a Hubbard U | optimized geometry

Geometry as POSCAR:
```
AcCr2FeO6
1.0
5.423 0.001 0.001
2.711 4.697 0.002
2.710 1.564 4.676
Ac Cr Fe O
1 2 1 6
Direct
0.772 0.772 0.683
0.520 0.520 0.440
0.010 0.010 0.969
0.314 0.314 0.058
0.626 0.264 0.212
0.264 0.898 0.212
0.898 0.626 0.212
0.322 0.731 0.743
0.731 0.205 0.743
0.205 0.321 0.743
```

Computed properties:
Uncorrected energy ... -7.588 eV per atom
D(E_F) ... 0.000 states/eV per atom